#a
Here is a relaxed LaPr2Ag2 crystal from Alexandria. Energies are from PBE.

Unit cell a=3.7904 b=5.5046 c=14.1598 alpha=90.00 beta=97.64 gamma=90.00
Last column: nearest neighbours and their distance in Å.
Atoms (fractional coordinates):
La  0.1444  0.2500  0.2900  6 Ag 3.34-3.35, 2 Pr 3.71
La  0.8556  0.7500  0.7100  6 Ag 3.34-3.35, 2 Pr 3.71
Pr  0.0474  0.7500  0.0951  8 Ag 3.23-3.34
Pr  0.2341  0.7500  0.4669  2 Ag 3.21-3.22, 4 Pr 3.47
Pr  0.7659  0.2500  0.5331  2 Ag 3.21-3.22, 4 Pr 3.47
Pr  0.9526  0.2500  0.9049  8 Ag 3.23-3.34
Ag  0.3590  0.2500  0.7180  4 Pr 3.21-3.24, 4 La 3.34
Ag  0.4538  0.7500  0.9064  6 Pr 3.26-3.34, 2 La 3.34-3.35
Ag  0.5462  0.2500  0.0936  6 Pr 3.26-3.34, 2 La 3.34-3.35
Ag  0.6410  0.7500  0.2820  4 Pr 3.21-3.24, 4 La 3.34

Calculated values
Space group = P2_1/m (11)

---

#b
Here is a relaxed LaPr2Ag2 crystal from Alexandria. Energies are from PBE.

Unit cell a=5.3716 b=5.0358 c=11.7774 alpha=90.00 beta=96.86 gamma=90.00
Last column: nearest neighbours and their distance in Å.
Atoms (fractional coordinates):
La  0.1981  0.2500  0.2464  1 Ag 3.22
La  0.8019  0.7500  0.7536  1 Ag 3.22
Pr  0.2490  0.7500  0.4897  4 Ag 3.05-3.07
Pr  0.3436  0.2500  0.8853  5 Ag 2.90-3.14
Pr  0.6564  0.7500  0.1147  5 Ag 2.90-3.14
Pr  0.7510  0.2500  0.5103  4 Ag 3.05-3.07
Ag  0.1311  0.7500  0.0010  2 Ag 2.88, 4 Pr 2.98-3.14, 1 La 3.22
Ag  0.2833  0.2500  0.6370  5 Pr 2.90-3.07
Ag  0.7167  0.7500  0.3630  5 Pr 2.90-3.07
Ag  0.8689  0.2500  0.9990  2 Ag 2.88, 4 Pr 2.98-3.14, 1 La 3.22

Calculated values
Space group = P2_1/m (11)

---

Computed energies relative to the best structure, in meV per atom: #a 0; #b 99

---

#a
Here is a relaxed La5Pr2Ag crystal from Alexandria. Energies are from PBE.

Unit cell a=8.7628 b=16.3733 c=3.8454 alpha=90.00 beta=90.00 gamma=90.00
Last column: nearest neighbours and their distance in Å.
Atoms (fractional coordinates):
La  0.0000  0.0000  0.0000  4 Pr 3.68, 8 La 3.69-3.85
La  0.0009  0.2273  0.0000  7 La 3.66-3.85, 4 Pr 3.68-3.72
La  0.2118  0.6150  0.5000  2 Ag 3.27
La  0.2882  0.1150  0.5000  2 Ag 3.27
La  0.4991  0.7273  0.0000  7 La 3.66-3.85, 4 Pr 3.68-3.72
La  0.5000  0.5000  0.0000  4 Pr 3.68, 8 La 3.69-3.85
La  0.5009  0.2727  0.0000  7 La 3.66-3.85, 4 Pr 3.68-3.72
La  0.7118  0.8850  0.5000  2 Ag 3.27
La  0.7882  0.3850  0.5000  2 Ag 3.27
La  0.9991  0.7727  0.0000  7 La 3.66-3.85, 4 Pr 3.68-3.72
Pr  0.2118  0.3858  0.5000  2 Ag 3.26
Pr  0.2882  0.8858  0.5000  2 Ag 3.26
Pr  0.7118  0.1142  0.5000  2 Ag 3.26
Pr  0.7882  0.6142  0.5000  2 Ag 3.26
Ag  0.0000  0.5000  0.0000  4 Pr 3.26, 4 La 3.27
Ag  0.5000  0.0000  0.0000  4 Pr 3.26, 4 La 3.27

Calculated values
Space group = Pbam (55)

---

#b
Here is a relaxed La5Pr2Ag crystal from Alexandria. Energies are from PBE.

Unit cell a=7.2242 b=7.2452 c=7.2469 alpha=119.75 beta=118.98 gamma=90.99
Last column: nearest neighbours and their distance in Å.
Atoms (fractional coordinates):
La  0.0000  0.0000  0.0000  1 Ag 3.31, 4 La 3.48-3.69, 2 Pr 3.53-3.63
La  0.0228  0.5530  0.4607  1 Ag 3.27, 3 La 3.49-3.66, 2 Pr 3.58-3.66
La  0.4676  0.9985  0.4793  1 Ag 3.35, 4 La 3.48-3.71, 4 Pr 3.61-3.72
La  0.5096  0.0389  0.9991  3 Pr 3.40-3.75, 8 La 3.49-3.78
La  0.5362  0.5558  0.0003  1 Ag 3.41, 5 La 3.49-3.74, 4 Pr 3.55-3.74
Pr  0.0032  0.1076  0.5621  1 Ag 3.14
Pr  0.5245  0.5063  0.4818  9 La 3.40-3.74, 1 Ag 3.53
Ag  0.0042  0.5397  0.9936  1 Pr 3.14, 4 La 3.27-3.41

Calculated values
Space group = P1 (1)

---

Computed energies relative to the best structure, in meV per atom: #a 0; #b 36

---

#a
Here is a relaxed La2PrAg crystal from Alexandria. Energies are from PBE.

Unit cell a=10.9899 b=10.9899 c=10.9899 alpha=19.84 beta=19.84 gamma=19.84
Last column: nearest neighbours and their distance in Å.
Atoms (fractional coordinates):
La  0.0000  0.0000  0.0000  3 Ag 3.21
La  0.1869  0.1869  0.1869  3 Ag 3.23
Pr  0.4261  0.4261  0.4261  6 La 3.71-3.75, 6 Pr 3.79
Ag  0.5939  0.5939  0.5939  6 La 3.21-3.23

Calculated values
Space group = R3m (160)

---

#b
Here is a relaxed La2PrAg crystal from Alexandria. Energies are from PBE.

Unit cell a=5.5815 b=5.5815 c=5.5815 alpha=60.00 beta=60.00 gamma=60.00
Last column: nearest neighbours and their distance in Å.
Atoms (fractional coordinates):
La  0.2500  0.2500  0.2500  4 Ag 3.42, 4 Pr 3.42
La  0.7500  0.7500  0.7500  4 Pr 3.42, 4 Ag 3.42
Pr  0.0000  0.0000  0.0000  8 La 3.42
Ag  0.5000  0.5000  0.5000  8 La 3.42

Calculated values
Space group = Fm-3m (225)

---

Computed energies relative to the best structure, in meV per atom: #a 0; #b 58

---

#a
Here is a relaxed La8PrAg2 crystal from Alexandria. Energies are from PBE.

Unit cell a=9.0493 b=9.0493 c=8.5657 alpha=113.90 beta=113.90 gamma=35.37
Last column: nearest neighbours and their distance in Å.
Atoms (fractional coordinates):
La  0.0495  0.0495  0.2404  1 Ag 3.30, 2 La 3.64
La  0.1558  0.1558  0.7204  3 Ag 3.24-3.45, 1 La 3.62
La  0.3086  0.3086  0.5329  1 Ag 3.11, 2 La 3.32, 1 Pr 3.43
La  0.3945  0.3945  0.0273  3 Ag 3.26-3.63
La  0.6055  0.6055  0.9727  3 Ag 3.26-3.63
La  0.6914  0.6914  0.4671  1 Ag 3.11, 2 La 3.32, 1 Pr 3.43
La  0.8442  0.8442  0.2796  3 Ag 3.24-3.45, 1 La 3.62
La  0.9505  0.9505  0.7596  1 Ag 3.30, 2 La 3.64
Pr  0.5000  0.5000  0.5000  8 La 3.43-3.75
Ag  0.2117  0.2117  0.1326  7 La 3.11-3.45
Ag  0.7883  0.7883  0.8674  7 La 3.11-3.45

Calculated values
Space group = C2/m (12)

---

#b
Here is a relaxed La8PrAg2 crystal from Alexandria. Energies are from PBE.

Unit cell a=8.6154 b=8.6154 c=6.7614 alpha=98.61 beta=98.61 gamma=48.82
Last column: nearest neighbours and their distance in Å.
Atoms (fractional coordinates):
La  0.0863  0.0863  0.4128  2 La 3.13-3.46, 1 Ag 3.19
La  0.1302  0.6611  0.0876  2 Ag 3.12-3.24, 1 La 3.34
La  0.2962  0.2962  0.6683  1 Ag 3.14, 1 La 3.46
La  0.3389  0.8698  0.9124  2 Ag 3.12-3.24, 1 La 3.34
La  0.6611  0.1302  0.0876  2 Ag 3.12-3.24, 1 La 3.34
La  0.7038  0.7038  0.3317  1 Ag 3.14, 1 La 3.46
La  0.8698  0.3389  0.9124  2 Ag 3.12-3.24, 1 La 3.34
La  0.9137  0.9137  0.5872  2 La 3.13-3.46, 1 Ag 3.19
Pr  0.5000  0.5000  0.5000  10 La 3.54-3.89
Ag  0.2528  0.2528  0.1981  6 La 3.12-3.24
Ag  0.7472  0.7472  0.8019  6 La 3.12-3.24

Calculated values
Space group = C2/m (12)

---

Computed energies relative to the best structure, in meV per atom: #a 0; #b 69